DFT (PBE-GGA) results for a geometry-optimized KTl2Hg10 structure.

Values from the calculation:
size of the total moment = 0.00 Bohr magnetons per cell
density of states at the Fermi level = 4.49 states/eV/f.u.
energy of formation from the pure elements = -0.05 eV per atom
E_tot = -9.5 eV/cell
crystal system = orthorhombic

Structure (POSCAR):
```
KTl2Hg10
1.0
-1.852 4.962 -4.090
-7.768 3.158 1.875
2.161 7.377 2.497
Tl Hg K
2 10 1
Cartesian
-4.810 4.060 -1.108 Tl
-3.884 1.579 0.938 Tl
-6.614 6.562 0.007 Hg
-4.367 8.528 1.376 Hg
-3.093 6.969 -1.094 Hg
-5.793 11.814 0.533 Hg
-6.144 9.660 -1.921 Hg
-1.667 3.683 -0.251 Hg
0.154 6.169 -0.797 Hg
-1.316 5.837 2.203 Hg
-0.846 8.935 0.275 Hg
1.080 3.689 1.248 Hg
0.000 0.000 0.000 K
```